1.
Crystalline TmGaPd5 at its relaxed geometry, computed with PBE-GGA.

Cell: 4.112 4.112 7.053 Å, 90.00 90.00 90.00°
Space group P4/mmm (No. 123)
One atom of each set of equivalent atoms:
Tm1 0.000 0.000 0.000 [1 per cell]
Ga1 0.500 0.500 0.500 [1 per cell]
Pd1 0.000 0.500 0.289 [4 per cell]
Pd2 0.500 0.500 0.000 [1 per cell]

Calculated values
The formation energy comes out at -0.74 eV/atom. The energy above the lowest structure with this stoichiometry comes out at 0 meV/atom. Its size of the total moment is 0.00 μB per atom. The value obtained for the density of states at the Fermi level is 0.23 states/eV/atom.



2.
Crystalline Tm5GaPd2 at its relaxed geometry, computed with PBE-GGA.

Cell: 7.623 7.623 13.213 Å, 90.00 90.00 90.00°
Space group I4/mcm (No. 140)
One atom of each set of equivalent atoms:
Tm1 0.000 0.000 0.000 [4 per cell]
Tm2 0.160 0.340 0.145 [16 per cell]
Ga1 0.000 0.000 0.250 [4 per cell]
Pd1 0.135 0.365 0.500 [8 per cell]

Calculated values
The formation energy comes out at -0.64 eV/atom. Its size of the total moment is 0.00 μB per atom. The value obtained for the density of states at the Fermi level is 1.17 states/eV/atom.



3.
Crystalline Tm2GaPd at its relaxed geometry, computed with PBE-GGA.

Cell: 3.513 3.513 6.917 Å, 90.00 90.00 90.00°
Space group P4/mmm (No. 123)
One atom of each set of equivalent atoms:
Tm1 0.000 0.000 0.243 [2 per cell]
Ga1 0.500 0.500 0.500 [1 per cell]
Pd1 0.500 0.500 0.000 [1 per cell]

Calculated values
The formation energy comes out at -0.77 eV/atom. Its size of the total moment is 0.00 μB per atom. The value obtained for the density of states at the Fermi level is 0.61 states/eV/atom.



4.
Crystalline Y2Tm2Ga4Pd at its relaxed geometry, computed with PBE-GGA.

Cell: 7.006 7.006 8.594 Å, 90.00 90.00 90.00°
Space group I4/mmm (No. 139)
One atom of each set of equivalent atoms:
Y1 0.000 0.000 0.191 [4 per cell]
Tm1 0.000 0.500 0.250 [4 per cell]
Ga1 0.250 0.250 0.000 [8 per cell]
Pd1 0.000 0.000 0.500 [2 per cell]

Calculated values
The formation energy comes out at -0.40 eV/atom. Its size of the total moment is 0.00 μB per atom. The value obtained for the density of states at the Fermi level is 0.87 states/eV/atom.



5.
Crystalline Tm2Zn2GaPd5 at its relaxed geometry, computed with PBE-GGA.

Cell: 9.688 9.688 3.680 Å, 90.00 90.00 90.00°
Space group P4/mbm (No. 127)
One atom of each set of equivalent atoms:
Tm1 0.174 0.326 0.000 [4 per cell]
Zn1 0.124 0.624 0.000 [4 per cell]
Ga1 0.000 0.000 0.000 [2 per cell]
Pd1 0.000 0.500 0.500 [2 per cell]
Pd2 0.064 0.799 0.500 [8 per cell]

Calculated values
The formation energy comes out at -0.72 eV/atom. Its size of the total moment is 0.00 μB per atom. The value obtained for the density of states at the Fermi level is 0.43 states/eV/atom.



6.
Crystalline TmZnGa2Pd2 at its relaxed geometry, computed with PBE-GGA.

Cell: 4.3644 4.3644 6.3596 Å, 90.00 90.00 120.00°
Space group P-3m1 (No. 164)
One atom of each set of equivalent atoms:
Tm1 0.0000 0.0000 0.0000 [1 per cell]
Zn1 0.0000 0.0000 0.5000 [1 per cell]
Ga1 0.3333 0.6667 0.2663 [2 per cell]
Pd1 0.3333 0.6667 0.6877 [2 per cell]

Calculated values
The formation energy comes out at -0.65 eV/atom. Its size of the total moment is 0.00 μB per atom. The value obtained for the density of states at the Fermi level is 0.41 states/eV/atom.



7.
Crystalline TmZnGa2Pd at its relaxed geometry, computed with PBE-GGA.

Cell: 4.123 4.123 10.691 Å, 90.00 90.00 90.00°
Space group I-4m2 (No. 119)
One atom of each set of equivalent atoms:
Tm1 0.000 0.000 0.000 [2 per cell]
Zn1 0.000 0.500 0.750 [2 per cell]
Ga1 0.000 0.000 0.386 [4 per cell]
Pd1 0.000 0.500 0.250 [2 per cell]

Calculated values
The formation energy comes out at -0.57 eV/atom. Its size of the total moment is 0.00 μB per atom. The value obtained for the density of states at the Fermi level is 0.57 states/eV/atom.



8.
Crystalline Tm2ZnGa4Pd3 at its relaxed geometry, computed with PBE-GGA.

Cell: 3.984 3.984 11.527 Å, 90.00 90.00 90.00°
Space group P-4m2 (No. 115)
One atom of each set of equivalent atoms:
Tm1 0.000 0.500 0.248 [2 per cell]
Zn1 0.000 0.000 0.500 [1 per cell]
Ga1 0.000 0.000 0.000 [1 per cell]
Ga2 0.000 0.500 0.640 [2 per cell]
Ga3 0.500 0.500 0.000 [1 per cell]
Pd1 0.000 0.500 0.855 [2 per cell]
Pd2 0.500 0.500 0.500 [1 per cell]

Calculated values
The formation energy comes out at -0.69 eV/atom. Its size of the total moment is 0.00 μB per atom. The value obtained for the density of states at the Fermi level is 0.38 states/eV/atom.



9.
Crystalline TmZn8Ga2Pd at its relaxed geometry, computed with PBE-GGA.

Cell: 7.624 4.956 11.071 Å, 90.00 101.83 90.00°
Space group C2/m (No. 12)
One atom of each set of equivalent atoms:
Tm1 0.000 0.000 0.000 [2 per cell]
Zn1 0.059 0.247 0.306 [8 per cell]
Zn2 0.168 0.500 0.542 [4 per cell]
Zn3 0.238 0.500 0.161 [4 per cell]
Ga1 0.133 0.500 0.879 [4 per cell]
Pd1 0.000 0.000 0.500 [2 per cell]

Calculated values
The formation energy comes out at -0.16 eV/atom. Its size of the total moment is 0.00 μB per atom. The value obtained for the density of states at the Fermi level is 0.24 states/eV/atom.



10.
Crystalline TmZnGa3Pd at its relaxed geometry, computed with PBE-GGA.

Cell: 5.837 12.435 6.264 Å, 90.00 90.00 90.00°
Space group Cmcm (No. 63)
One atom of each set of equivalent atoms:
Tm1 0.000 0.188 0.250 [4 per cell]
Zn1 0.000 0.407 0.250 [4 per cell]
Ga1 0.000 0.361 0.750 [4 per cell]
Ga2 0.217 0.000 0.000 [8 per cell]
Pd1 0.000 0.153 0.750 [4 per cell]

Calculated values
The formation energy comes out at -0.27 eV/atom. Its size of the total moment is 0.00 μB per atom. The value obtained for the density of states at the Fermi level is 0.38 states/eV/atom.



11.
Crystalline UGa2Pd at its relaxed geometry, computed with PBE-GGA.

Cell: 4.141 4.141 4.484 Å, 90.00 90.00 90.00°
Space group P4/mmm (No. 123)
One atom of each set of equivalent atoms:
U1 0.000 0.000 0.000 [1 per cell]
Ga1 0.000 0.500 0.500 [2 per cell]
Pd1 0.500 0.500 0.000 [1 per cell]

Calculated values
The formation energy comes out at -0.19 eV/atom. Its size of the total moment is 0.57 μB per atom. The value obtained for the density of states at the Fermi level is 1.97 states/eV/atom.



12.
Crystalline UGa2Pd at its relaxed geometry, computed with PBE-GGA.

Cell: 2.896 2.896 8.118 Å, 90.00 90.00 90.00°
Space group P4/mmm (No. 123)
One atom of each set of equivalent atoms:
U1 0.000 0.000 0.000 [1 per cell]
Ga1 0.500 0.500 0.284 [2 per cell]
Pd1 0.000 0.000 0.500 [1 per cell]

Calculated values
The formation energy comes out at -0.34 eV/atom. Its size of the total moment is 0.28 μB per atom. The value obtained for the density of states at the Fermi level is 1.19 states/eV/atom.



13.
Crystalline U2GaPd8 at its relaxed geometry, computed with PBE-GGA.

Cell: 4.720 5.896 13.984 Å, 90.00 90.00 90.00°
Space group Immm (No. 71)
One atom of each set of equivalent atoms:
U1 0.000 0.000 0.183 [4 per cell]
Ga1 0.000 0.000 0.500 [2 per cell]
Pd1 0.000 0.253 0.000 [4 per cell]
Pd2 0.000 0.257 0.364 [8 per cell]
Pd3 0.000 0.500 0.183 [4 per cell]

Calculated values
The formation energy comes out at -0.43 eV/atom. Its size of the total moment is 0.34 μB per atom. The value obtained for the density of states at the Fermi level is 1.38 states/eV/atom.



14.
Crystalline UGaPd at its relaxed geometry, computed with PBE-GGA.

Cell: 3.729 3.729 7.720 Å, 90.00 90.00 90.00°
Space group P4/nmm (No. 129, origin choice 2)
One atom of each set of equivalent atoms:
U1 0.250 0.750 0.000 [2 per cell]
Ga1 0.250 0.250 0.317 [2 per cell]
Pd1 0.250 0.250 0.641 [2 per cell]

Calculated values
The formation energy comes out at -0.27 eV/atom. Its size of the total moment is 0.39 μB per atom. The value obtained for the density of states at the Fermi level is 0.99 states/eV/atom.



15.
Crystalline U3Ga12Pd at its relaxed geometry, computed with PBE-GGA.

Cell: 4.258 4.258 16.393 Å, 90.00 90.00 90.00°
Space group P4/mmm (No. 123)
One atom of each set of equivalent atoms:
U1 0.000 0.000 0.000 [1 per cell]
U2 0.000 0.000 0.263 [2 per cell]
Ga1 0.000 0.500 0.131 [4 per cell]
Ga2 0.000 0.500 0.391 [4 per cell]
Ga3 0.500 0.500 0.000 [1 per cell]
Ga4 0.500 0.500 0.255 [2 per cell]
Ga5 0.500 0.500 0.500 [1 per cell]
Pd1 0.000 0.000 0.500 [1 per cell]

Calculated values
The formation energy comes out at -0.23 eV/atom. Its size of the total moment is 0.43 μB per atom. The value obtained for the density of states at the Fermi level is 1.05 states/eV/atom.



16.
Crystalline UGa2Pd8 at its relaxed geometry, computed with PBE-GGA.

Cell: 14.106 4.172 6.564 Å, 90.00 113.21 90.00°
Space group C2/m (No. 12)
One atom of each set of equivalent atoms:
U1 0.000 0.000 0.000 [2 per cell]
Ga1 0.207 0.500 0.663 [4 per cell]
Pd1 0.036 0.500 0.735 [4 per cell]
Pd2 0.107 0.000 0.463 [4 per cell]
Pd3 0.160 0.500 0.232 [4 per cell]
Pd4 0.177 0.000 0.932 [4 per cell]

Calculated values
The formation energy comes out at -0.51 eV/atom. Its size of the total moment is 0.11 μB per atom. The value obtained for the density of states at the Fermi level is 0.87 states/eV/atom.



17.
Crystalline UGa2Pd at its relaxed geometry, computed with PBE-GGA.

Cell: 6.561 4.425 10.305 Å, 90.00 90.00 90.00°
Space group Pnma (No. 62)
One atom of each set of equivalent atoms:
U1 0.243 0.250 0.162 [4 per cell]
Ga1 0.070 0.250 0.843 [4 per cell]
Ga2 0.215 0.750 0.955 [4 per cell]
Pd1 0.044 0.750 0.399 [4 per cell]

Calculated values
The formation energy comes out at -0.37 eV/atom. Its size of the total moment is 0.58 μB per atom. The value obtained for the density of states at the Fermi level is 1.91 states/eV/atom.



18.
Crystalline UGa3Pd2 at its relaxed geometry, computed with PBE-GGA.

Cell: 5.3410 5.3410 4.3083 Å, 90.00 90.00 120.00°
Space group P6/mmm (No. 191)
One atom of each set of equivalent atoms:
U1 0.0000 0.0000 0.0000 [1 per cell]
Ga1 0.0000 0.5000 0.5000 [3 per cell]
Pd1 0.3333 0.6667 0.0000 [2 per cell]

Calculated values
The formation energy comes out at -0.44 eV/atom. Its size of the total moment is 0.38 μB per atom. The value obtained for the density of states at the Fermi level is 1.78 states/eV/atom.



19.
Crystalline U2GaPd9 at its relaxed geometry, computed with PBE-GGA.

Cell: 4.098 4.098 12.059 Å, 90.00 90.00 90.00°
Space group P4/mmm (No. 123)
One atom of each set of equivalent atoms:
U1 0.000 0.000 0.175 [2 per cell]
Ga1 0.000 0.000 0.500 [1 per cell]
Pd1 0.000 0.500 0.000 [2 per cell]
Pd2 0.000 0.500 0.342 [4 per cell]
Pd3 0.500 0.500 0.172 [2 per cell]
Pd4 0.500 0.500 0.500 [1 per cell]

Calculated values
The formation energy comes out at -0.52 eV/atom. Its size of the total moment is 0.29 μB per atom. The value obtained for the density of states at the Fermi level is 1.37 states/eV/atom.



20.
Crystalline UGa4Pd2 at its relaxed geometry, computed with PBE-GGA.

Cell: 17.192 4.386 6.592 Å, 90.00 90.00 90.00°
Space group Pnma (No. 62)
One atom of each set of equivalent atoms:
U1 0.137 0.250 0.015 [4 per cell]
Ga1 0.038 0.750 0.833 [4 per cell]
Ga2 0.070 0.250 0.483 [4 per cell]
Ga3 0.185 0.750 0.322 [4 per cell]
Ga4 0.190 0.750 0.728 [4 per cell]
Pd1 0.036 0.750 0.241 [4 per cell]
Pd2 0.216 0.250 0.530 [4 per cell]

Calculated values
The formation energy comes out at -0.45 eV/atom. Its size of the total moment is 0.33 μB per atom. The value obtained for the density of states at the Fermi level is 1.23 states/eV/atom.



21.
Crystalline UGaPd at its relaxed geometry, computed with PBE-GGA.

Cell: 6.9064 6.9064 4.2261 Å, 90.00 90.00 120.00°
Space group P-62m (No. 189)
One atom of each set of equivalent atoms:
U1 0.0000 0.4298 0.0000 [3 per cell]
Ga1 0.0000 0.7621 0.5000 [3 per cell]
Pd1 0.0000 0.0000 0.0000 [1 per cell]
Pd2 0.3333 0.6667 0.5000 [2 per cell]

Calculated values
The formation energy comes out at -0.38 eV/atom. Its size of the total moment is 0.75 μB per atom. The value obtained for the density of states at the Fermi level is 1.81 states/eV/atom.